This record from the Open Quantum Materials Database describes a relaxed GdGa3 crystal. The functional is PBE.

a b c (Å): 6.3235 6.3235 4.5412
angles (deg): 90.00 90.00 119.87
Element x y z (fractional)
Ga: 0.1461 0.2940 0.2500
Ga: 0.8539 0.7060 0.7500
Ga: 0.7060 0.8539 0.2500
Ga: 0.2940 0.1461 0.7500
Ga: 0.1464 0.8536 0.2500
Ga: 0.8536 0.1464 0.7500
Gd: 0.3338 0.6662 0.7500
Gd: 0.6662 0.3338 0.2500

Calculated values
Total moment, μB/cell: 0.00
Electronic total energy, eV per atom: -3.99
Space group: No. 63